Below is an optimized crystal structure of Na2UNi2O6, with properties calculated at the GGA+U level.

Cell: 5.396 5.396 5.954 Å, 99.94 99.94 119.76°
Element x y z (fractional)
Na (0.179, 0.821, 0.000)
Na (0.821, 0.179, 0.000)
U (0.000, 0.000, 0.500)
Ni (0.334, 0.666, 0.500)
Ni (0.666, 0.334, 0.500)
O (0.065, 0.402, 0.700)
O (0.251, 0.251, 0.301)
O (0.402, 0.065, 0.700)
O (0.598, 0.935, 0.300)
O (0.749, 0.749, 0.699)
O (0.935, 0.598, 0.300)

Results
**D(E_F)**: 0.000 states/eV/f.u.
**DFT total energy**: -71.0 eV/cell
**Symmetry**: No. 12